(1)
Ce3CdRu3: relaxed, PBE.

a b c (Å): 8.7297 8.7297 14.9347
angles (deg): 90.00 90.00 120.00
With the nearest neighbours (Å) after each atom.
Space group R-3 (No. 148, hexagonal axes)
One atom of each set of equivalent atoms:
Ce1 0.0298 0.7399 0.1091 [18 per cell]  1 Ru 2.33
Cd1 0.0000 0.0000 0.3356 [6 per cell]  6 Ru 2.84-3.01
Ru1 0.0149 0.6302 0.9308 [18 per cell]  1 Ce 2.33

Total magnetic moment   0.00 μB/cell
Calculated formation energy   -0.240 eV per atom
Crystal system   trigonal

=====

(2)
Ce5CdRu4: relaxed, PBE.

a b c (Å): 7.6759 8.4689 7.1702
angles (deg): 90.00 90.00 90.00
With the nearest neighbours (Å) after each atom.
Space group Pmmn (No. 59, origin choice 2)
One atom of each set of equivalent atoms:
Ce1 0.0002 0.0364 0.2423 [8 per cell]  3 Ru 2.63-2.80
Ce2 0.2500 0.2500 0.5685 [2 per cell]  2 Ru 2.50
Cd1 0.2500 0.7500 0.0772 [2 per cell]  4 Ru 2.95-3.16
Ru1 0.0735 0.7500 0.4748 [4 per cell]  3 Ce 2.50-2.78, 1 Ru 2.71
Ru2 0.2500 0.0852 0.9637 [4 per cell]  4 Ce 2.63-2.80, 1 Ru 2.79

Total magnetic moment   0.02 μB/cell
Calculated formation energy   -0.208 eV per atom
Crystal system   orthorhombic

=====

(3)
Ce4Cd2Ru: relaxed, PBE.

a b c (Å): 6.7271 3.5374 8.4408
angles (deg): 90.00 101.47 90.00
With the nearest neighbours (Å) after each atom.
Space group P2/m (No. 10)
One atom of each set of equivalent atoms:
Ce1 0.0627 0.0000 0.3456 [2 per cell]  1 Ru 2.86, 1 Ce 2.90
Ce2 0.2967 0.5000 0.0146 [2 per cell]  2 Ru 2.65, 1 Ce 2.79
Cd1 0.3825 0.5000 0.6328 [2 per cell]  1 Cd 2.99, 1 Ce 3.31
Ru1 0.0000 0.0000 0.0000 [1 per cell]  6 Ce 2.65-2.86

Total magnetic moment   3.06 μB/cell
Calculated formation energy   -0.034 eV per atom
Crystal system   monoclinic

=====

(4)
Ce2CdRu2: relaxed, PBE.

a b c (Å): 12.4594 4.8630 9.8640
angles (deg): 90.00 126.51 90.00
With the nearest neighbours (Å) after each atom.
Space group C2/m (No. 12)
One atom of each set of equivalent atoms:
Ce1 0.1775 0.0000 0.0850 [4 per cell]  1 Ru 2.29
Ce2 0.1775 0.0000 0.5848 [4 per cell]  1 Ru 2.29
Cd1 0.9999 0.5000 0.2495 [4 per cell]  4 Ru 2.81
Ru1 0.1194 0.0000 0.2658 [4 per cell]  1 Ce 2.29
Ru2 0.1196 0.0000 0.7658 [4 per cell]  1 Ce 2.29

Total magnetic moment   0.00 μB/cell
Calculated formation energy   -0.311 eV per atom
Crystal system   monoclinic

=====

(5)
Ce2CdRu: relaxed, PBE.

a b c (Å): 7.2353 7.2353 7.2353
angles (deg): 90.00 90.00 90.00
With the nearest neighbours (Å) after each atom.
Space group Fm-3m (No. 225)
One atom of each set of equivalent atoms:
Ce1 0.2500 0.2500 0.2500 [8 per cell]  4 Ru 3.13, 4 Cd 3.13
Cd1 0.0000 0.0000 0.0000 [4 per cell]  8 Ce 3.13
Ru1 0.0000 0.0000 0.5000 [4 per cell]  8 Ce 3.13

E above lowest polymorph   0.1549 eV per atom
Total magnetic moment   3.64 μB/cell
Calculated formation energy   -0.114 eV per atom
Crystal system   cubic

=====

(6)
Ce3CdRu: relaxed, PBE.

a b c (Å): 15.2792 10.1879 6.3541
angles (deg): 90.00 90.00 90.00
With the nearest neighbours (Å) after each atom.
Space group Cmcm (No. 63)
One atom of each set of equivalent atoms:
Ce1 0.0932 0.2503 0.0244 [16 per cell]  2 Ce 2.85-2.87, 2 Ru 2.87-2.90
Ce2 0.2491 0.0000 0.0000 [8 per cell]  4 Ru 3.00-3.01, 2 Ce 3.18
Cd1 0.0000 0.0102 0.7500 [4 per cell]  2 Cd 3.18, 8 Ce 3.32-3.34
Cd2 0.0000 0.4897 0.7500 [4 per cell]  2 Cd 3.18, 8 Ce 3.32-3.33
Ru1 0.2420 0.2499 0.7500 [8 per cell]  8 Ce 2.87-3.01, 2 Ru 3.19

E above lowest polymorph   0.0218 eV per atom
Total magnetic moment   7.35 μB/cell
Calculated formation energy   -0.182 eV per atom
Crystal system   orthorhombic

=====

(7)
Ce2CdRu: relaxed, PBE.

a b c (Å): 5.8953 9.3807 7.3326
angles (deg): 90.00 90.00 90.00
With the nearest neighbours (Å) after each atom.
Space group Ima2 (No. 46)
One atom of each set of equivalent atoms:
Ce1 0.2500 0.1575 0.0000 [4 per cell]  1 Ru 2.34
Ce2 0.2500 0.7050 0.7966 [4 per cell]  1 Ru 2.76
Cd1 0.0000 0.0000 0.6294 [4 per cell]  2 Ru 2.91, 2 Cd 2.95
Ru1 0.2500 0.0892 0.3065 [4 per cell]  1 Ce 2.34

E above lowest polymorph   0.1013 eV per atom
Total magnetic moment   4.90 μB/cell
Calculated formation energy   -0.167 eV per atom
Crystal system   orthorhombic

=====

(8)
CeSmCdRu: relaxed, PBE.

a b c (Å): 7.2540 7.2540 7.2540
angles (deg): 90.00 90.00 90.00
With the nearest neighbours (Å) after each atom.
Space group F-43m (No. 216)
One atom of each set of equivalent atoms:
Ce1 0.0000 0.0000 0.0000 [4 per cell]  4 Cd 3.14, 4 Ru 3.14
Sm1 0.0000 0.0000 0.5000 [4 per cell]  4 Cd 3.14, 4 Ru 3.14
Cd1 0.2500 0.2500 0.2500 [4 per cell]  4 Ce 3.14, 4 Sm 3.14
Ru1 0.2500 0.2500 0.7500 [4 per cell]  4 Ce 3.14, 4 Sm 3.14

Total magnetic moment   1.32 μB/cell
Calculated formation energy   -0.157 eV per atom
Crystal system   cubic

=====

(9)
Ce2TlCdRu: relaxed, PBE.

a b c (Å): 8.2001 4.0323 8.4392
angles (deg): 90.00 110.14 90.00
With the nearest neighbours (Å) after each atom.
Space group P2_1/m (No. 11)
One atom of each set of equivalent atoms:
Ce1 0.0182 0.2500 0.2349 [2 per cell]  2 Ru 2.75
Ce2 0.3350 0.7500 0.6056 [2 per cell]  2 Ru 2.77
Tl1 0.3379 0.2500 0.9530 [2 per cell]  1 Ru 2.78, 2 Cd 2.99
Cd1 0.3189 0.7500 0.2085 [2 per cell]  2 Tl 2.99, 3 Ce 3.25-3.31
Ru1 0.1100 0.2500 0.6207 [2 per cell]  4 Ce 2.75-2.77, 1 Tl 2.78, 2 Ru 2.99

Total magnetic moment   2.36 μB/cell
Calculated formation energy   -0.226 eV per atom
Crystal system   monoclinic

=====

(10)
CeTmCdRu: relaxed, PBE.

a b c (Å): 7.1386 7.1386 7.1386
angles (deg): 90.00 90.00 90.00
With the nearest neighbours (Å) after each atom.
Space group F-43m (No. 216)
One atom of each set of equivalent atoms:
Ce1 0.0000 0.0000 0.0000 [4 per cell]  4 Ru 3.09, 4 Cd 3.09
Tm1 0.0000 0.0000 0.5000 [4 per cell]  4 Cd 3.09, 4 Ru 3.09
Cd1 0.2500 0.2500 0.2500 [4 per cell]  4 Ce 3.09, 4 Tm 3.09
Ru1 0.2500 0.2500 0.7500 [4 per cell]  4 Ce 3.09, 4 Tm 3.09

E above lowest polymorph   0.1516 eV per atom
Total magnetic moment   0.80 μB/cell
Calculated formation energy   -0.221 eV per atom
Crystal system   cubic

=====

(11)
CeTmCdRu: relaxed, PBE.

a b c (Å): 3.3311 3.3311 8.3041
angles (deg): 90.00 90.00 90.00
With the nearest neighbours (Å) after each atom.
Space group P4mm (No. 99)
One atom of each set of equivalent atoms:
Ce1 0.0000 0.0000 0.0000 [1 per cell]  4 Ru 2.94
Tm1 0.0000 0.0000 0.5857 [1 per cell]  4 Ru 2.90
Cd1 0.5000 0.5000 0.3044 [1 per cell]  4 Tm 3.32, 4 Cd 3.33, 4 Ce 3.46
Ru1 0.5000 0.5000 0.7887 [1 per cell]  4 Tm 2.90, 4 Ce 2.94

E above lowest polymorph   0.0000 eV per atom
Total magnetic moment   0.00 μB/cell
Calculated formation energy   -0.373 eV per atom
Crystal system   tetragonal

=====

(12)
CeZnCdRu: relaxed, PBE.

a b c (Å): 6.8059 6.8059 6.8059
angles (deg): 90.00 90.00 90.00
With the nearest neighbours (Å) after each atom.
Space group F-43m (No. 216)
One atom of each set of equivalent atoms:
Ce1 0.0000 0.0000 0.0000 [4 per cell]  4 Ru 2.95, 4 Zn 2.95
Zn1 0.2500 0.2500 0.2500 [4 per cell]  4 Cd 2.95, 4 Ce 2.95
Cd1 0.0000 0.0000 0.5000 [4 per cell]  4 Zn 2.95, 4 Ru 2.95
Ru1 0.2500 0.2500 0.7500 [4 per cell]  4 Cd 2.95, 4 Ce 2.95

Total magnetic moment   0.00 μB/cell
Calculated formation energy   -0.041 eV per atom
Crystal system   cubic